# GdNb2Si2Sb

GdNb2Si2Sb after structural relaxation (PBE, OQMD).

Geometry as CIF:
```
data_GdNb2Si2Sb
_cell_length_a 4.015
_cell_length_b 4.015
_cell_length_c 7.840
_cell_angle_alpha 90.00
_cell_angle_beta 90.00
_cell_angle_gamma 90.00
_symmetry_space_group_name_H-M 'P 4 m m'
_symmetry_Int_Tables_number 99
loop_
_symmetry_equiv_pos_as_xyz
'x,y,z'
'-y,x,z'
'-x,-y,z'
'y,-x,z'
'-x,y,z'
'y,x,z'
'x,-y,z'
'-y,-x,z'
loop_
_atom_site_label
_atom_site_fract_x
_atom_site_fract_y
_atom_site_fract_z
Gd1 0.000 0.000 0.000
Nb1 0.000 0.500 0.360
Si1 0.000 0.000 0.607
Si2 0.500 0.500 0.128
Sb1 0.500 0.500 0.664
```

Properties
crystal system	tetragonal
E	-6.9488	eV/atom


# CsLiMoPd

CsLiMoPd after structural relaxation (PBE, OQMD).

Geometry as CIF:
```
data_CsLiMoPd
_cell_length_a 7.276
_cell_length_b 7.276
_cell_length_c 7.276
_cell_angle_alpha 90.00
_cell_angle_beta 90.00
_cell_angle_gamma 90.00
_symmetry_space_group_name_H-M 'F -4 3 m'
_symmetry_Int_Tables_number 216
_symmetry_space_group_name_Hall 'F -4 2 3'
loop_
_atom_site_label
_atom_site_fract_x
_atom_site_fract_y
_atom_site_fract_z
Cs1 0.000 0.000 0.000
Li1 0.250 0.250 0.750
Mo1 0.000 0.000 0.500
Pd1 0.250 0.250 0.250
```

Properties
energy above the most stable polymorph in this dataset	18	meV per atom
crystal system	cubic


# NdC8

NdC8 after structural relaxation (PBE, OQMD).

Geometry as CIF:
```
data_NdC8
_cell_length_a 5.0011
_cell_length_b 5.0011
_cell_length_c 4.5740
_cell_angle_alpha 90.00
_cell_angle_beta 90.00
_cell_angle_gamma 120.00
_symmetry_space_group_name_H-M 'P 6/m m m'
_symmetry_Int_Tables_number 191
_symmetry_space_group_name_Hall '-P 6 2'
loop_
_atom_site_label
_atom_site_fract_x
_atom_site_fract_y
_atom_site_fract_z
Nd1 0.0000 0.0000 0.0000
C1 0.1677 0.3354 0.5000
C2 0.3333 0.6667 0.5000
```

Properties
crystal system	hexagonal
E	-8.7120	eV/atom


In μB/atom, the spin magnetization values for the records above are, in order, 0.001 1.066 0.000.